[1]
First-principles (PBE) data for a relaxed structure of Ho6Lu2Se, as listed in OQMD.

Cell: 9.0252 9.0252 3.7039 Å, 90.00 90.00 120.00°
Fractional positions:
Ho: 0.0000 0.2589 0.0000
Ho: 0.0000 0.6073 0.5000
Ho: 0.2589 0.0000 0.0000
Ho: 0.3927 0.3927 0.5000
Ho: 0.6073 0.0000 0.5000
Ho: 0.7411 0.7411 0.0000
Lu: 0.3333 0.6667 0.0000
Lu: 0.6667 0.3333 0.0000
Se: 0.0000 0.0000 0.5000

The total energy is -43.15 eV for the cell shown. The mass density comes out at 9.01 Mg/m³. The magnetization comes out at 0.005 μB/atom.



[2]
First-principles (PBE) data for a relaxed structure of Ho2LuSe3, as listed in OQMD.

Cell: 4.0065 4.0065 9.9277 Å, 90.00 90.00 120.00°
Fractional positions:
Ho: 0.3333 0.6667 0.1662
Ho: 0.6667 0.3333 0.8338
Lu: 0.0000 0.0000 0.5000
Se: 0.0000 0.0000 0.0000
Se: 0.3333 0.6667 0.6614
Se: 0.6667 0.3333 0.3386

The total energy is -34.19 eV for the cell shown. The mass density comes out at 8.92 Mg/m³. The magnetization comes out at 0.004 μB/atom.



[3]
First-principles (PBE) data for a relaxed structure of Ho5Lu3Se, as listed in OQMD.

Cell: 8.9889 8.9889 3.7045 Å, 90.00 90.00 120.00°
Fractional positions:
Ho: 0.0000 0.2588 0.0000
Ho: 0.2588 0.0000 0.0000
Ho: 0.3333 0.6667 0.0000
Ho: 0.6667 0.3333 0.0000
Ho: 0.7412 0.7412 0.0000
Lu: 0.0000 0.6065 0.5000
Lu: 0.3935 0.3935 0.5000
Lu: 0.6065 0.0000 0.5000
Se: 0.0000 0.0000 0.5000

The total energy is -43.11 eV for the cell shown. The mass density comes out at 9.15 Mg/m³. The magnetization comes out at 0.002 μB/atom.



[4]
First-principles (PBE) data for a relaxed structure of HoLuSi, as listed in OQMD.

Cell: 4.7690 4.7690 4.7690 Å, 60.00 60.00 60.00°
Fractional positions:
Ho: 0.0000 0.0000 0.0000
Lu: 0.5000 0.5000 0.5000
Si: 0.2500 0.2500 0.2500

The total energy is -15.86 eV for the cell shown. The mass density comes out at 7.97 Mg/m³. The magnetization comes out at 0.002 μB/atom.



[5]
First-principles (PBE) data for a relaxed structure of HoLuZn2Si2, as listed in OQMD.

Cell: 4.1303 4.1303 15.2911 Å, 90.00 90.00 120.00°
Fractional positions:
Ho: 0.0000 0.0000 0.0000
Ho: 0.0000 0.0000 0.5000
Lu: 0.0000 0.0000 0.2500
Lu: 0.0000 0.0000 0.7500
Zn: 0.3333 0.6667 0.1423
Zn: 0.3333 0.6667 0.3577
Zn: 0.6667 0.3333 0.6423
Zn: 0.6667 0.3333 0.8577
Si: 0.3333 0.6667 0.6189
Si: 0.3333 0.6667 0.8811
Si: 0.6667 0.3333 0.1189
Si: 0.6667 0.3333 0.3811

The total energy is -52.17 eV for the cell shown. The mass density comes out at 7.75 Mg/m³. The magnetization comes out at 0.000 μB/atom.



[6]
First-principles (PBE) data for a relaxed structure of SmHoLu, as listed in OQMD.

Cell: 5.3829 5.3829 5.3829 Å, 60.00 60.00 60.00°
Fractional positions:
Sm: 0.0000 0.0000 0.0000
Ho: 0.5000 0.5000 0.5000
Lu: 0.7500 0.7500 0.7500

The mass density comes out at 7.38 Mg/m³. As for the calculated formation energy: 0.71 eV/atom. The magnetization comes out at 0.001 μB/atom.



[7]
First-principles (PBE) data for a relaxed structure of SrHoLu, as listed in OQMD.

Cell: 5.6822 5.6822 5.6822 Å, 60.00 60.00 60.00°
Fractional positions:
Sr: 0.0000 0.0000 0.0000
Ho: 0.5000 0.5000 0.5000
Lu: 0.7500 0.7500 0.7500

The total energy is -8.35 eV for the cell shown. The mass density comes out at 5.47 Mg/m³. The magnetization comes out at 0.006 μB/atom.



[8]
First-principles (PBE) data for a relaxed structure of Ho3Lu5Te, as listed in OQMD.

Cell: 9.0756 9.0756 3.7152 Å, 90.00 90.00 120.00°
Fractional positions:
Ho: 0.0000 0.2775 0.0000
Ho: 0.2775 0.0000 0.0000
Ho: 0.7225 0.7225 0.0000
Lu: 0.0000 0.6138 0.5000
Lu: 0.3333 0.6667 0.0000
Lu: 0.3862 0.3862 0.5000
Lu: 0.6138 0.0000 0.5000
Lu: 0.6667 0.3333 0.0000
Te: 0.0000 0.0000 0.5000

The total energy is -42.01 eV for the cell shown. The mass density comes out at 9.38 Mg/m³. The magnetization comes out at 0.001 μB/atom.



[9]
First-principles (PBE) data for a relaxed structure of Ho6Lu2Te, as listed in OQMD.

Cell: 9.1470 9.1470 3.7328 Å, 90.00 90.00 120.00°
Fractional positions:
Ho: 0.0000 0.2759 0.0000
Ho: 0.0000 0.6152 0.5000
Ho: 0.2759 0.0000 0.0000
Ho: 0.3848 0.3848 0.5000
Ho: 0.6152 0.0000 0.5000
Ho: 0.7241 0.7241 0.0000
Lu: 0.3333 0.6667 0.0000
Lu: 0.6667 0.3333 0.0000
Te: 0.0000 0.0000 0.5000

The total energy is -42.17 eV for the cell shown. The mass density comes out at 9.01 Mg/m³. The magnetization comes out at 0.012 μB/atom.



[10]
First-principles (PBE) data for a relaxed structure of Ho2Lu6Te, as listed in OQMD.

Cell: 9.0356 9.0356 3.7011 Å, 90.00 90.00 120.00°
Fractional positions:
Ho: 0.3333 0.6667 0.0000
Ho: 0.6667 0.3333 0.0000
Lu: 0.0000 0.2772 0.0000
Lu: 0.0000 0.6139 0.5000
Lu: 0.2772 0.0000 0.0000
Lu: 0.3861 0.3861 0.5000
Lu: 0.6139 0.0000 0.5000
Lu: 0.7228 0.7228 0.0000
Te: 0.0000 0.0000 0.5000

The total energy is -41.89 eV for the cell shown. The mass density comes out at 9.56 Mg/m³. The magnetization comes out at 0.000 μB/atom.



[11]
First-principles (PBE) data for a relaxed structure of Ho3Lu5Te, as listed in OQMD.

Cell: 9.0668 9.0668 3.7092 Å, 90.00 90.00 120.00°
Fractional positions:
Ho: 0.0000 0.6140 0.0000
Ho: 0.3860 0.3860 0.0000
Ho: 0.6140 0.0000 0.0000
Lu: 0.0000 0.2771 0.5000
Lu: 0.2771 0.0000 0.5000
Lu: 0.3333 0.6667 0.5000
Lu: 0.6667 0.3333 0.5000
Lu: 0.7229 0.7229 0.5000
Te: 0.0000 0.0000 0.0000

The total energy is -41.97 eV for the cell shown. The mass density comes out at 9.42 Mg/m³. The magnetization comes out at 0.012 μB/atom.



[12]
First-principles (PBE) data for a relaxed structure of Ho3Tm2Lu3Te, as listed in OQMD.

Cell: 9.0936 9.0936 3.7223 Å, 90.00 90.00 120.00°
Fractional positions:
Ho: 0.0000 0.2771 0.0000
Ho: 0.2771 0.0000 0.0000
Ho: 0.7229 0.7229 0.0000
Tm: 0.3333 0.6667 0.0000
Tm: 0.6667 0.3333 0.0000
Lu: 0.0000 0.6142 0.5000
Lu: 0.3858 0.3858 0.5000
Lu: 0.6142 0.0000 0.5000
Te: 0.0000 0.0000 0.5000

The total energy is -41.91 eV for the cell shown. The mass density comes out at 9.25 Mg/m³. The magnetization comes out at 0.001 μB/atom.



[13]
First-principles (PBE) data for a relaxed structure of Ho2Tm3Lu3Te, as listed in OQMD.

Cell: 9.0663 9.0663 3.7110 Å, 90.00 90.00 120.00°
Fractional positions:
Ho: 0.3333 0.6667 0.0000
Ho: 0.6667 0.3333 0.0000
Tm: 0.0000 0.2768 0.0000
Tm: 0.2768 0.0000 0.0000
Tm: 0.7232 0.7232 0.0000
Lu: 0.0000 0.6143 0.5000
Lu: 0.3857 0.3857 0.5000
Lu: 0.6143 0.0000 0.5000
Te: 0.0000 0.0000 0.5000

The total energy is -41.77 eV for the cell shown. The mass density comes out at 9.36 Mg/m³. The magnetization comes out at 0.002 μB/atom.



[14]
First-principles (PBE) data for a relaxed structure of HoLuTl, as listed in OQMD.

Cell: 5.0950 5.0950 5.0950 Å, 60.00 60.00 60.00°
Fractional positions:
Ho: 0.0000 0.0000 0.0000
Lu: 0.5000 0.5000 0.5000
Tl: 0.2500 0.2500 0.2500

The total energy is -11.53 eV for the cell shown. The mass density comes out at 9.66 Mg/m³. The magnetization comes out at 0.005 μB/atom.



[15]
First-principles (PBE) data for a relaxed structure of HoTmLu, as listed in OQMD.

Cell: 5.3217 5.3217 5.3217 Å, 60.00 60.00 60.00°
Fractional positions:
Ho: 0.0000 0.0000 0.0000
Tm: 0.5000 0.5000 0.5000
Lu: 0.7500 0.7500 0.7500

The mass density comes out at 7.93 Mg/m³. As for the calculated formation energy: 0.72 eV/atom. The magnetization comes out at 0.010 μB/atom.



[16]
First-principles (PBE) data for a relaxed structure of HoTm6Lu, as listed in OQMD.

Cell: 7.0813 7.0813 5.5106 Å, 90.00 90.00 120.00°
Fractional positions:
Ho: 0.0000 0.0000 0.0000
Tm: 0.0007 0.5004 0.0000
Tm: 0.1670 0.3340 0.5000
Tm: 0.1670 0.8330 0.5000
Tm: 0.4996 0.5004 0.0000
Tm: 0.4996 0.9993 0.0000
Tm: 0.6660 0.8330 0.5000
Lu: 0.6667 0.3333 0.5000

The mass density comes out at 9.39 Mg/m³. As for the calculated formation energy: 0.00 eV/atom. The magnetization comes out at 0.002 μB/atom.



[17]
First-principles (PBE) data for a relaxed structure of Ho2Tm5Lu, as listed in OQMD.

Cell: 5.5077 7.1085 7.1085 Å, 60.00 90.00 90.00°
Fractional positions:
Ho: 0.0000 0.0000 0.0000
Ho: 0.5000 0.3335 0.3335
Tm: 0.0000 0.5008 0.9994
Tm: 0.0000 0.9994 0.5008
Tm: 0.5000 0.3341 0.8332
Tm: 0.5000 0.8332 0.3341
Tm: 0.5000 0.8332 0.8332
Lu: 0.0000 0.5006 0.5006

The mass density comes out at 9.30 Mg/m³. As for the calculated formation energy: 0.00 eV/atom. The magnetization comes out at 0.001 μB/atom.



[18]
First-principles (PBE) data for a relaxed structure of HoLuU, as listed in OQMD.

Cell: 5.2283 5.2283 5.2283 Å, 60.00 60.00 60.00°
Fractional positions:
Ho: 0.0000 0.0000 0.0000
Lu: 0.2500 0.2500 0.2500
U: 0.5000 0.5000 0.5000

The mass density comes out at 9.50 Mg/m³. As for the calculated formation energy: 1.26 eV/atom. The magnetization comes out at 1.234 μB/atom.



[19]
First-principles (PBE) data for a relaxed structure of HoLuW, as listed in OQMD.

Cell: 4.8323 4.8323 4.8323 Å, 60.00 60.00 60.00°
Fractional positions:
Ho: 0.0000 0.0000 0.0000
Lu: 0.5000 0.5000 0.5000
W: 0.2500 0.2500 0.2500

The mass density comes out at 10.90 Mg/m³. As for the calculated formation energy: 0.84 eV/atom. The magnetization comes out at 0.002 μB/atom.



[20]
First-principles (PBE) data for a relaxed structure of Y2HoLu, as listed in OQMD.

Cell: 5.5930 7.2085 7.2085 Å, 119.98 90.00 90.00°
Fractional positions:
Y: 0.2500 0.0832 0.9168
Y: 0.2500 0.5813 0.9153
Y: 0.7500 0.9153 0.5813
Y: 0.7500 0.9168 0.0832
Ho: 0.2500 0.0832 0.4150
Ho: 0.7500 0.4150 0.0832
Lu: 0.2500 0.5802 0.4143
Lu: 0.7500 0.4143 0.5802

The mass density comes out at 6.83 Mg/m³. As for the calculated formation energy: 0.00 eV/atom. The magnetization comes out at 0.041 μB/atom.